Record 1
The following is a GGA-PBEsol calculation of an optimized crystal structure of TiCu2N3, from Alexandria via LeMat-Bulk.

Summary:
magnetic moment = 0.0 μB/cell
formation energy from raw total energies = 0.0 eV/f.u.

Cell lengths 4.0544, 4.0544, 3.9922 Å; angles 90.00, 90.00, 90.00 degrees
With the nearest neighbours (Å) after each atom.
Atoms (fractional coordinates):
1 Ti 0.0000 0.0000 0.0000  6 N 2.00-2.03
2 Cu 0.0000 0.5000 0.5000  4 N 2.00-2.03
3 Cu 0.5000 0.0000 0.5000  4 N 2.00-2.03
4 N 0.0000 0.0000 0.5000  2 Ti 2.00, 4 Cu 2.03
5 N 0.0000 0.5000 0.0000  2 Cu 2.00, 2 Ti 2.03
6 N 0.5000 0.0000 0.0000  2 Cu 2.00, 2 Ti 2.03

---

Record 2
The following is a GGA-PBEsol calculation of an optimized crystal structure of TlCu3N, from Alexandria via LeMat-Bulk.

Summary:
magnetic moment = 0.0 μB/cell
formation energy from raw total energies = 1.7 eV/f.u.

Cell lengths 4.0241, 4.0241, 4.0241 Å; angles 90.00, 90.00, 90.00 degrees
With the nearest neighbours (Å) after each atom.
Atoms (fractional coordinates):
1 Tl 0.0000 0.0000 0.0000  12 Cu 2.85
2 Cu 0.0000 0.5000 0.5000  2 N 2.01
3 Cu 0.5000 0.0000 0.5000  2 N 2.01
4 Cu 0.5000 0.5000 0.0000  2 N 2.01
5 N 0.5000 0.5000 0.5000  6 Cu 2.01

---

| no. | DOS(E_F) (states/eV/cell) | energy (eV per atom) |
| --- | --- | --- |
| 1 | 2.5 | -7.09 |
| 2 | 1.3 | -4.50 |